Record 1
! GGA-PBE LaErSi, relaxed; values from VASP
! ΔE to the lowest computed polymorph: 78 meV per atom
! ΔE_f (raw): -365 meV/atom
! total DFT energy (no corrections): -5.336 eV per atom
! space group: No. 2
! DOS(E_F): 5.9 states/eV/cell
&SYSTEM
  ibrav = 0, nat = 6, ntyp = 3
/
ATOMIC_SPECIES
La 138.91 La.upf
Er 167.26 Er.upf
Si 28.09 Si.upf
CELL_PARAMETERS angstrom
3.723 0.002 -0.003
0.000 5.371 0.014
-1.865 -0.909 8.056
ATOMIC_POSITIONS crystal
La 0.852 0.580 0.391
La 0.009 0.971 0.702
Er 0.722 0.044 0.129
Er 0.138 0.507 0.964
Si 0.493 0.437 0.672
Si 0.367 0.114 0.421

***

Record 2
! GGA-PBE LaErSi, relaxed; values from VASP
! ΔE to the lowest computed polymorph: 341 meV per atom
! ΔE_f (raw): -102 meV/atom
! total DFT energy (no corrections): -5.073 eV per atom
! space group: No. 63
! DOS(E_F): 6.2 states/eV/cell
&SYSTEM
  ibrav = 0, nat = 6, ntyp = 3
/
ATOMIC_SPECIES
Si 28.09 Si.upf
La 138.91 La.upf
Er 167.26 Er.upf
CELL_PARAMETERS angstrom
5.790 0.000 0.000
0.000 3.435 0.000
0.000 1.717 8.611
ATOMIC_POSITIONS crystal
Si 0.750 0.851 0.298
Si 0.250 0.149 0.702
La 0.250 0.326 0.348
La 0.750 0.674 0.652
Er 0.500 0.000 0.000
Er 0.000 0.000 0.000

***

Record 3
! GGA-PBE La2Er3Si4, relaxed; values from VASP
! ΔE_f (raw): -771 meV/atom
! total DFT energy (no corrections): -5.797 eV per atom
! space group: No. 14
! DOS(E_F): 16.4 states/eV/cell
&SYSTEM
  ibrav = 0, nat = 18, ntyp = 3
/
ATOMIC_SPECIES
Er 167.26 Er.upf
Si 28.09 Si.upf
La 138.91 La.upf
CELL_PARAMETERS angstrom
7.523 0.087 0.000
-2.388 7.398 0.000
0.000 0.000 7.832
ATOMIC_POSITIONS crystal
Er 0.246 0.753 0.179
Er 0.500 0.500 0.000
Er 0.754 0.247 0.821
Er 0.000 0.500 0.500
Er 0.254 0.247 0.679
Er 0.746 0.753 0.321
Si 0.622 0.922 0.032
Si 0.878 0.078 0.532
Si 0.626 0.505 0.619
Si 0.374 0.495 0.381
Si 0.126 0.505 0.881
Si 0.874 0.495 0.119
Si 0.378 0.078 0.968
Si 0.122 0.922 0.468
La 0.080 0.196 0.175
La 0.420 0.804 0.675
La 0.580 0.196 0.325
La 0.920 0.804 0.825

***

Please write out number 2 again, unchanged.
! GGA-PBE LaErSi, relaxed; values from VASP
! ΔE to the lowest computed polymorph: 341 meV per atom
! ΔE_f (raw): -102 meV/atom
! total DFT energy (no corrections): -5.073 eV per atom
! space group: No. 63
! DOS(E_F): 6.2 states/eV/cell
&SYSTEM
  ibrav = 0, nat = 6, ntyp = 3
/
ATOMIC_SPECIES
Si 28.09 Si.upf
La 138.91 La.upf
Er 167.26 Er.upf
CELL_PARAMETERS angstrom
5.790 0.000 0.000
0.000 3.435 0.000
0.000 1.717 8.611
ATOMIC_POSITIONS crystal
Si 0.750 0.851 0.298
Si 0.250 0.149 0.702
La 0.250 0.326 0.348
La 0.750 0.674 0.652
Er 0.500 0.000 0.000
Er 0.000 0.000 0.000